First-principles (PBE-GGA) data for a relaxed GdYAg crystal, as listed in the Alexandria database.

Unit cell a=3.6734 b=5.0741 c=5.0741 alpha=120.00 beta=90.00 gamma=90.00
Sites, in units of the cell vectors:
Gd1 0.6141 0.6667 0.3333
Ag1 0.3210 0.3333 0.6667
Y1 0.0650 0.0000 0.0000

Computed properties:
polymorph energy (0 for the lowest one): 0.170 eV/atom
E_form: -0.024 eV/atom
DFT total energy: -7.822 eV/atom
spin magnetization: 7.227 μB per formula unit